# 1
Compound: SrAcCd
Source: Alexandria
Functional: GGA-PBE
Structure: optimized geometry

ΔE_f = -0.187 eV per atom
theoretical density = 6.12 g cm⁻³
DFT total energy = -2.42 eV/atom
distance to the lowest polymorph of the same formula = 0 meV per atom
magnetic moment = 0.00 μB/f.u.

abc: 4.0760 18.8298 6.0411
angles: 90.00 90.00 90.00
Space group Cmcm (No. 63)
Asymmetric unit:
Sr (0.0000, 0.0778, 0.2500)
Ac (0.0000, 0.2206, 0.7500)
Cd (0.0000, 0.4254, 0.2500)

# 2
Compound: SrAc2Cd6
Source: Alexandria
Functional: GGA-PBE
Structure: optimized geometry

ΔE_f = -0.334 eV per atom
theoretical density = 7.52 g cm⁻³
DFT total energy = -2.04 eV/atom
magnetic moment = 0.00 μB/f.u.

abc: 8.9401 8.9401 3.8793
angles: 90.00 90.00 120.00
Space group P6/mmm (No. 191)
Asymmetric unit:
Sr (0.0000, 0.0000, 0.0000)
Ac (0.3333, 0.6667, 0.0000)
Cd (0.0000, 0.3310, 0.5000)

# 3
Compound: SrAc2Cd3
Source: Alexandria
Functional: GGA-PBE
Structure: optimized geometry

ΔE_f = -0.315 eV per atom
theoretical density = 7.19 g cm⁻³
DFT total energy = -2.42 eV/atom
magnetic moment = 0.00 μB/f.u.

abc: 4.0628 4.0628 12.3006
angles: 90.00 90.00 90.00
Space group P4/mmm (No. 123)
Asymmetric unit:
Sr (0.0000, 0.0000, 0.0000)
Ac (0.0000, 0.0000, 0.3346)
Cd (0.5000, 0.5000, 0.1687)
Cd (0.5000, 0.5000, 0.5000)

# 4
Compound: Sr2AcCd4
Source: Alexandria
Functional: GGA-PBE
Structure: optimized geometry

ΔE_f = -0.155 eV per atom
theoretical density = 5.67 g cm⁻³
DFT total energy = -1.75 eV/atom
magnetic moment = 0.00 μB/f.u.

abc: 5.8758 5.8758 14.4639
angles: 90.00 90.00 90.00
Space group I4/mmm (No. 139)
Asymmetric unit:
Sr (0.0000, 0.0000, 0.2314)
Ac (0.0000, 0.0000, 0.5000)
Cd (0.0000, 0.5000, 0.1156)